Version one
# Ba2YMo

Crystalline Ba2YMo at its relaxed geometry (PBE, the Alexandria database).

extended XYZ file:
```
4
Lattice="-4.870 -1.914 10.782 -4.779 -5.392 9.577 -1.809 -3.920 11.180" Properties=species:S:1:pos:R:3 pbc="T T T"
Mo -2.864 -2.807 7.884
Ba -5.878 -5.759 16.179
Ba -11.309 -11.080 31.128
Y -8.593 -8.420 23.653
```

Output
Magnetization: 1.59 μB/f.u.



Version two
# Ba2YMo

Crystalline Ba2YMo at its relaxed geometry (PBE, the Alexandria database).

extended XYZ file:
```
4
Lattice="3.841 0.000 0.000 0.000 3.841 0.000 0.000 0.000 9.939" Properties=species:S:1:pos:R:3 pbc="T T T"
Ba 0.000 0.000 0.404
Ba 0.000 0.000 4.565
Mo 1.920 1.920 2.485
Y 1.920 1.920 7.454
```

Output
Magnetization: 1.59 μB/f.u.



Tell me which of them is the least stable. Sure, it is version one.



Version one
# BaYMo3

Crystalline BaYMo3 at its relaxed geometry (PBE, the Alexandria database).

extended XYZ file:
```
5
Lattice="5.036 0.000 0.000 0.000 5.036 0.000 0.000 0.000 5.036" Properties=species:S:1:pos:R:3 pbc="T T T"
Mo 2.518 0.000 0.000
Y 2.518 2.518 2.518
Ba 0.000 0.000 0.000
Mo 0.000 2.518 0.000
Mo 0.000 0.000 2.518
```

Output
Magnetization: 3.38 μB/f.u.



Version two
# BaYMo3

Crystalline BaYMo3 at its relaxed geometry (PBE, the Alexandria database).

extended XYZ file:
```
5
Lattice="-3.527 0.135 -3.758 -2.341 -4.112 2.048 -2.944 3.107 2.874" Properties=species:S:1:pos:R:3 pbc="T T T"
Mo -1.170 -2.056 1.024
Mo -1.763 0.068 -1.879
Ba -4.405 -0.435 0.582
Y 0.000 0.000 0.000
Mo -1.472 1.554 1.437
```

Output
Magnetization: 4.60 μB/f.u.



Tell me which of them is the least stable. Sure, it is version one.